No. 1
DFT (PBE) results for a geometry-optimized ZrGeBr2 structure.

Cell lengths 4.938, 4.938, 4.938 Å; angles 60.00, 60.00, 60.00 degrees
Positions (direct):
Zr1 0.000 0.000 0.000
Ge1 0.500 0.500 0.500
Br1 0.250 0.250 0.250
Br2 0.750 0.750 0.750

Values from the calculation:
Crystal system   cubic
Total DFT energy (no corrections)   -0.154 Ha/atom
Raw formation energy   -6.0 kJ per mole of atoms
Distance to the lowest polymorph of the same formula   172.4 kJ/mol of formula units

No. 2
DFT (PBE) results for a geometry-optimized Zr2Ge2Br structure.

Cell lengths 7.861, 7.861, 7.861 Å; angles 152.28, 152.28, 39.60 degrees
Positions (direct):
Zr1 0.111 0.111 0.000
Zr2 0.889 0.889 0.000
Ge1 0.250 0.750 0.500
Ge2 0.750 0.250 0.500
Br1 0.500 0.500 0.000

Values from the calculation:
Crystal system   tetragonal
Total DFT energy (no corrections)   -0.216 Ha/atom
Raw formation energy   -27.7 kJ per mole of atoms
Distance to the lowest polymorph of the same formula   150.6 kJ/mol of formula units

No. 3
DFT (PBE) results for a geometry-optimized ZrGeBr2 structure.

Cell lengths 7.386, 7.386, 7.386 Å; angles 97.64, 97.64, 137.25 degrees
Positions (direct):
Zr1 0.000 0.000 0.000
Zr2 0.750 0.250 0.500
Ge1 0.250 0.750 0.500
Ge2 0.500 0.500 0.000
Br1 0.375 0.020 0.145
Br2 0.770 0.625 0.645
Br3 0.875 0.230 0.855
Br4 0.980 0.125 0.355

Values from the calculation:
Crystal system   tetragonal
Total DFT energy (no corrections)   -0.163 Ha/atom
Raw formation energy   -29.6 kJ per mole of atoms
Distance to the lowest polymorph of the same formula   77.9 kJ/mol of formula units

No. 4
DFT (PBE) results for a geometry-optimized Zr2GeBr structure.

Cell lengths 4.826, 4.826, 4.826 Å; angles 60.00, 60.00, 60.00 degrees
Positions (direct):
Zr1 0.250 0.250 0.250
Zr2 0.750 0.750 0.750
Ge1 0.000 0.000 0.000
Br1 0.500 0.500 0.500

Values from the calculation:
Crystal system   cubic
Total DFT energy (no corrections)   -0.232 Ha/atom
Raw formation energy   -44.0 kJ per mole of atoms
Distance to the lowest polymorph of the same formula   0.0 kJ/mol of formula units

No. 5
DFT (PBE) results for a geometry-optimized HBr3 structure.

Cell lengths 6.000, 6.000, 6.000 Å; angles 147.49, 101.13, 87.91 degrees
Positions (direct):
H1 0.000 0.000 0.000
Br1 0.180 0.500 0.680
Br2 0.500 0.000 0.500
Br3 0.820 0.500 0.320

Values from the calculation:
Crystal system   orthorhombic
Total DFT energy (no corrections)   -0.060 Ha/atom
Distance to the lowest polymorph of the same formula   79.6 kJ/mol of formula units

No. 6
DFT (PBE) results for a geometry-optimized HBr3 structure.

Cell lengths 6.579, 6.579, 6.579 Å; angles 121.95, 121.95, 86.66 degrees
Positions (direct):
H1 0.000 0.000 0.000
H2 0.750 0.250 0.500
Br1 0.250 0.750 0.500
Br2 0.375 0.240 0.365
Br3 0.500 0.500 0.000
Br4 0.760 0.125 0.135
Br5 0.875 0.010 0.635
Br6 0.990 0.625 0.865

Values from the calculation:
Crystal system   tetragonal
Total DFT energy (no corrections)   -0.057 Ha/atom
Distance to the lowest polymorph of the same formula   117.8 kJ/mol of formula units

No. 7
DFT (PBE) results for a geometry-optimized H2Br structure.

Cell lengths 4.501, 4.501, 4.501 Å; angles 103.79, 103.79, 121.54 degrees
Positions (direct):
H1 0.101 0.101 0.000
H2 0.899 0.899 0.000
Br1 0.500 0.500 0.000

Values from the calculation:
Crystal system   tetragonal
Total DFT energy (no corrections)   -0.097 Ha/atom
Distance to the lowest polymorph of the same formula   96.8 kJ/mol of formula units

No. 8
DFT (PBE) results for a geometry-optimized HBr3 structure.

Cell lengths 5.264, 5.264, 5.264 Å; angles 60.00, 60.00, 60.00 degrees
Positions (direct):
H1 0.000 0.000 0.000
Br1 0.250 0.250 0.250
Br2 0.500 0.500 0.500
Br3 0.750 0.750 0.750

Values from the calculation:
Crystal system   cubic
Total DFT energy (no corrections)   -0.037 Ha/atom
Distance to the lowest polymorph of the same formula   326.0 kJ/mol of formula units